Compound: Na2ZrMoO6
Source: Alexandria
Functional: PBE with a Hubbard U
Structure: relaxed Values from VASP.

Values from the calculation:
The total energy is -7.00 eV/atom. Its space group is No. 99.

```
&SYSTEM
  ibrav = 0, nat = 10, ntyp = 4
/
ATOMIC_SPECIES
Na 22.99 Na.upf
Zr 91.22 Zr.upf
Mo 95.94 Mo.upf
O 16.00 O.upf
CELL_PARAMETERS angstrom
5.6686 0.0000 0.0000
0.0000 5.6686 0.0000
0.0000 0.0000 4.1778
ATOMIC_POSITIONS crystal
Na 0.0000 0.5000 0.0000
Na 0.5000 0.0000 0.0000
Zr 0.0000 0.0000 0.5719
Mo 0.5000 0.5000 0.5303
O 0.0000 0.0000 0.0890
O 0.2645 0.2645 0.6054
O 0.2645 0.7355 0.6054
O 0.5000 0.5000 0.1025
O 0.7355 0.2645 0.6054
O 0.7355 0.7355 0.6054
```